Below is a relaxed structure of LiMgTc2, with properties calculated at the PBE level.

Geometry as POSCAR:
```
LiMgTc2
1.0
9.5895 -0.0077 -0.0045
9.2011 2.7015 -0.0045
9.2011 1.3190 2.3576
Li Mg Tc
1 1 2
direct
0.2500 0.2500 0.2500
0.7500 0.7500 0.7500
0.0002 0.0002 0.0002
0.4998 0.4998 0.4998
```

E_form ... 360 meV per atom
SG ... R-3m (166)


Below is a relaxed structure of LiThMgTc, with properties calculated at the PBE level.

Geometry as POSCAR:
```
LiThMgTc
1.0
-0.0415 2.5130 4.1265
-4.0916 0.4123 2.5364
-0.4659 -2.2990 4.2240
Mg Tc Th Li
1 1 1 1
direct
0.5000 0.5000 0.5000
0.2500 0.2500 0.2500
0.0000 0.0000 0.0000
0.7500 0.7500 0.7500
```

E_form ... 87 meV per atom
SG ... F-43m (216)


Below is a relaxed structure of LiMg2TiTc, with properties calculated at the PBE level.

Geometry as POSCAR:
```
LiMg2TiTc
1.0
-3.4271 -3.8296 0.9967
1.9167 -2.5169 -3.0798
3.2395 -1.9579 3.6161
Mg Li Tc Ti
2 1 1 1
direct
0.0000 0.0000 0.5000
0.5000 0.0000 0.0000
0.5000 0.5000 0.5000
0.0000 0.0000 0.0000
0.0000 0.5000 0.0000
```

E_form ... 411 meV per atom
SG ... P4/mmm (123)


Below is a relaxed structure of LiMgTe2, with properties calculated at the PBE level.

Geometry as POSCAR:
```
LiMgTe2
1.0
4.1576 0.0000 0.0000
0.0000 4.1576 0.0000
0.0000 0.0000 5.8753
Li Mg Te
1 1 2
direct
0.0000 0.0000 0.3730
0.5000 0.5000 0.8769
0.0000 0.0000 0.8740
0.5000 0.5000 0.3760
```

Formation energy from raw total energies ... -0.662 eV per atom
SG ... P4mm (99)